{"formula": "Rb2PrCoO4", "functional": "PBE+U", "state": "relaxed", "lattice_angstrom": [[0.000, 6.473, 12.111], [2.971, 0.000, 12.111], [2.971, 6.473, 0.000]], "species": ["Rb", "Rb", "Rb", "Rb", "Pr", "Pr", "Co", "Co", "O", "O", "O", "O", "O", "O", "O", "O"], "frac_coords": [[0.072, 0.072, 0.678], [0.322, 0.322, 0.928], [0.678, 0.678, 0.072], [0.928, 0.928, 0.322], [0.125, 0.125, 0.125], [0.875, 0.875, 0.875], [0.375, 0.375, 0.375], [0.625, 0.625, 0.625], [0.040, 0.644, 0.525], [0.291, 0.525, 0.644], [0.356, 0.960, 0.709], [0.475, 0.709, 0.960], [0.525, 0.291, 0.040], [0.644, 0.040, 0.291], [0.709, 0.475, 0.356], [0.960, 0.356, 0.475]], "total_energy_ha_per_atom": -0.2007}